! ThTiSb2N (PBE, relaxed); values from VASP
&SYSTEM
  ibrav = 0, nat = 10, ntyp = 4
/
ATOMIC_SPECIES
Th 232.04 Th.upf
Ti 47.87 Ti.upf
Sb 121.76 Sb.upf
N 14.01 N.upf
CELL_PARAMETERS angstrom
3.944 0.000 0.000
0.000 3.944 0.000
0.000 0.000 14.808
ATOMIC_POSITIONS crystal
Th 0.500 0.000 0.582
Th 0.000 0.500 0.418
Ti 0.500 0.000 0.072
Ti 0.000 0.500 0.928
Sb 0.000 0.500 0.737
Sb 0.000 0.500 0.119
Sb 0.500 0.000 0.881
Sb 0.500 0.000 0.263
N 0.000 0.000 0.500
N 0.500 0.500 0.500
! * theoretical density: 7.75 g/cm³
! * total DFT energy (no corrections): -72.256 eV for the cell shown
! * volume: 230 Å³ per cell
! * uncorrected formation energy: -0.85 eV per atom
! * crystal system: tetragonal
! * space group: P4/nmm, No. 129

=====

! YThSb2N (PBE, relaxed); values from VASP
&SYSTEM
  ibrav = 0, nat = 10, ntyp = 4
/
ATOMIC_SPECIES
Y 88.91 Y.upf
Th 232.04 Th.upf
Sb 121.76 Sb.upf
N 14.01 N.upf
CELL_PARAMETERS angstrom
-3.861 0.736 1.405
-1.204 -3.766 -1.336
3.660 -5.819 13.107
ATOMIC_POSITIONS crystal
Y 0.500 0.000 0.074
Y 0.000 0.500 0.926
Th 0.500 0.000 0.575
Th 0.000 0.500 0.425
Sb 0.000 0.500 0.722
Sb 0.000 0.500 0.139
Sb 0.500 0.000 0.861
Sb 0.500 0.000 0.278
N 0.000 0.000 0.500
N 0.500 0.500 0.500
! * theoretical density: 7.45 g/cm³
! * total DFT energy (no corrections): -70.946 eV for the cell shown
! * volume: 258 Å³ per cell
! * uncorrected formation energy: -1.00 eV per atom
! * crystal system: tetragonal
! * space group: P4/nmm, No. 129

=====

! Th2ZrSbN5 (PBE, relaxed); values from VASP
&SYSTEM
  ibrav = 0, nat = 18, ntyp = 4
/
ATOMIC_SPECIES
Th 232.04 Th.upf
Zr 91.22 Zr.upf
Sb 121.76 Sb.upf
N 14.01 N.upf
CELL_PARAMETERS angstrom
-0.398 3.037 -1.631
-4.123 0.641 5.888
8.516 4.080 5.520
ATOMIC_POSITIONS crystal
Th 0.864 0.728 0.776
Th 0.122 0.243 0.702
Th 0.136 0.272 0.276
Th 0.878 0.757 0.202
Zr 0.779 0.557 0.498
Zr 0.221 0.443 0.998
Sb 0.521 0.042 0.978
Sb 0.479 0.958 0.478
N 0.369 0.738 0.008
N 0.703 0.406 0.853
N 0.495 0.990 0.781
N 0.286 0.571 0.639
N 0.960 0.920 0.588
N 0.631 0.262 0.508
N 0.297 0.594 0.353
N 0.505 0.010 0.281
N 0.714 0.429 0.139
N 0.040 0.080 0.088
! * theoretical density: 9.33 g/cm³
! * total DFT energy (no corrections): -155.001 eV for the cell shown
! * volume: 266 Å³ per cell
! * uncorrected formation energy: -0.93 eV per atom
! * crystal system: orthorhombic
! * space group: Cmc2_1, No. 36

=====

! Ti6SbN2 (PBE, relaxed); values from VASP
&SYSTEM
  ibrav = 0, nat = 9, ntyp = 3
/
ATOMIC_SPECIES
Ti 47.87 Ti.upf
Sb 121.76 Sb.upf
N 14.01 N.upf
CELL_PARAMETERS angstrom
4.111 0.000 0.000
2.056 4.771 0.272
2.056 2.401 7.866
ATOMIC_POSITIONS crystal
Ti 0.673 0.709 0.945
Ti 0.327 0.291 0.055
Ti 0.021 0.799 0.160
Ti 0.317 0.679 0.687
Ti 0.979 0.201 0.840
Ti 0.683 0.321 0.313
Sb 0.000 0.500 0.500
N 0.167 0.752 0.915
N 0.833 0.248 0.085
! * theoretical density: 4.79 g/cm³
! * total DFT energy (no corrections): -74.941 eV for the cell shown
! * volume: 152 Å³ per cell
! * uncorrected formation energy: -0.76 eV per atom
! * crystal system: monoclinic
! * space group: C2/m, No. 12

=====

! TiSbN3 (PBE, relaxed); values from VASP
&SYSTEM
  ibrav = 0, nat = 5, ntyp = 3
/
ATOMIC_SPECIES
Sb 121.76 Sb.upf
N 14.01 N.upf
Ti 47.87 Ti.upf
CELL_PARAMETERS angstrom
3.961 0.000 0.000
0.000 3.961 0.000
0.000 0.000 3.961
ATOMIC_POSITIONS crystal
Sb 0.500 0.500 0.500
N 0.000 0.500 0.000
N 0.000 0.000 0.500
N 0.500 0.000 0.000
Ti 0.000 0.000 0.000
! * theoretical density: 5.66 g/cm³
! * total DFT energy (no corrections): -34.534 eV for the cell shown
! * volume: 62 Å³ per cell
! * uncorrected formation energy: 0.49 eV per atom
! * crystal system: cubic
! * space group: Pm-3m, No. 221

=====

! Ti8Sb2N (PBE, relaxed); values from VASP
&SYSTEM
  ibrav = 0, nat = 11, ntyp = 3
/
ATOMIC_SPECIES
Ti 47.87 Ti.upf
Sb 121.76 Sb.upf
N 14.01 N.upf
CELL_PARAMETERS angstrom
-0.292 -3.674 2.697
4.409 1.745 2.855
-6.787 4.402 1.395
ATOMIC_POSITIONS crystal
Ti 0.424 0.574 0.848
Ti 0.624 0.991 0.248
Ti 0.783 0.693 0.565
Ti 0.996 0.230 0.991
Ti 0.217 0.307 0.435
Ti 0.376 0.009 0.752
Ti 0.576 0.426 0.152
Ti 0.004 0.770 0.009
Sb 0.828 0.268 0.656
Sb 0.172 0.732 0.344
N 0.500 0.000 0.000
! * theoretical density: 5.87 g/cm³
! * total DFT energy (no corrections): -84.342 eV for the cell shown
! * volume: 181 Å³ per cell
! * uncorrected formation energy: -0.42 eV per atom
! * crystal system: monoclinic
! * space group: C2/m, No. 12